VASP calculation (PBE-GGA) on an optimized crystal structure of Zr2CdCu.

Lattice parameters (Å, degrees): 2.959 3.216 8.247 90.00 90.00 90.00
Atoms (fractional coordinates):
Cu (0.500, 0.500, 0.750)
Zr (0.000, 0.000, 0.972)
Zr (0.000, 0.000, 0.528)
Cd (0.500, 0.500, 0.250)

Output
The calculation puts the raw total energy at -0.2067 hartree per atom. The value obtained for the formation enthalpy at 0 K is -97.2 meV/atom.

VASP calculation (PBE-GGA) on an optimized crystal structure of Zr2CdCu.

Lattice parameters (Å, degrees): 3.176 3.176 7.949 90.00 90.00 90.00
Atoms (fractional coordinates):
Cu (0.500, 0.500, 0.748)
Zr (0.000, 0.000, 0.969)
Zr (0.500, 0.500, 0.245)
Cd (0.000, 0.000, 0.537)

Output
The calculation puts the raw total energy at -0.2068 hartree per atom. The value obtained for the formation enthalpy at 0 K is -99.8 meV/atom.

VASP calculation (PBE-GGA) on an optimized crystal structure of Zr2CdCu.

Lattice parameters (Å, degrees): 4.293 3.225 6.045 74.49 90.00 90.00
Atoms (fractional coordinates):
Cd (0.000, 0.687, 0.500)
Cu (0.500, 0.549, 0.777)
Zr (0.000, 0.958, 0.959)
Zr (0.500, 0.306, 0.263)

Output
The calculation puts the raw total energy at -0.2038 hartree per atom. The value obtained for the formation enthalpy at 0 K is -17.7 meV/atom.

VASP calculation (PBE-GGA) on an optimized crystal structure of ZrCd2Cu.

Lattice parameters (Å, degrees): 5.932 5.932 4.925 65.48 65.48 29.57
Atoms (fractional coordinates):
Cd (0.030, 0.030, 0.970)
Cd (0.470, 0.470, 0.530)
Cu (0.750, 0.750, 0.750)
Zr (0.250, 0.250, 0.250)

Output
The calculation puts the raw total energy at -0.1321 hartree per atom. The value obtained for the formation enthalpy at 0 K is 23.9 meV/atom.

VASP calculation (PBE-GGA) on an optimized crystal structure of ZrCd2Cu.

Lattice parameters (Å, degrees): 4.384 2.958 6.215 76.01 90.00 90.00
Atoms (fractional coordinates):
Cd (0.000, 0.058, 0.004)
Cd (0.500, 0.436, 0.254)
Cu (0.000, 0.302, 0.526)
Zr (0.500, 0.704, 0.717)

Output
The calculation puts the raw total energy at -0.1339 hartree per atom. The value obtained for the formation enthalpy at 0 K is -23.7 meV/atom.

VASP calculation (PBE-GGA) on an optimized crystal structure of ZrCdCu.

Lattice parameters (Å, degrees): 4.670 4.670 2.912 90.00 90.00 120.00
Atoms (fractional coordinates):
Cu (0.667, 0.333, 0.167)
Zr (0.333, 0.667, 0.667)
Cd (0.000, 0.000, 0.166)

Output
The calculation puts the raw total energy at -0.1684 hartree per atom. The value obtained for the formation enthalpy at 0 K is -62.6 meV/atom.

VASP calculation (PBE-GGA) on an optimized crystal structure of ZrCd2Cu.

Lattice parameters (Å, degrees): 4.599 2.925 5.891 77.83 90.00 90.00
Atoms (fractional coordinates):
Cd (0.000, 0.108, 0.019)
Cd (0.000, 0.392, 0.481)
Cu (0.500, 0.250, 0.250)
Zr (0.500, 0.750, 0.750)

Output
The calculation puts the raw total energy at -0.1318 hartree per atom. The value obtained for the formation enthalpy at 0 K is 31.0 meV/atom.

VASP calculation (PBE-GGA) on an optimized crystal structure of ZrCdCu2.

Lattice parameters (Å, degrees): 9.314 9.314 9.314 18.36 18.36 18.36
Atoms (fractional coordinates):
Cd (0.750, 0.750, 0.750)
Cu (0.000, 0.000, 0.000)
Cu (0.500, 0.500, 0.500)
Zr (0.250, 0.250, 0.250)

Output
The calculation puts the raw total energy at -0.1574 hartree per atom. The value obtained for the formation enthalpy at 0 K is 130.7 meV/atom.